A plane-wave DFT calculation with PBE was carried out for a relaxed Tb4HoErSe8 crystal.

Summary:
**VASP energy**: -79.559 eV per cell
**Space-group type**: No. 160
**Formation energy from raw total energies**: -1.7158 eV/atom

a = 8.425 Å, b = 8.425 Å, c = 8.419 Å
α = 59.97°, β = 59.97°, γ = 60.00°
Atoms (fractional coordinates):
Tb (0.625, 0.625, 0.126)
Tb (0.000, 0.499, 0.500)
Tb (0.499, 0.000, 0.500)
Tb (0.000, 0.000, 0.500)
Ho (0.375, 0.375, 0.874)
Er (0.000, 0.000, 0.999)
Se (0.241, 0.771, 0.747)
Se (0.771, 0.241, 0.747)
Se (0.241, 0.241, 0.747)
Se (0.244, 0.244, 0.268)
Se (0.760, 0.226, 0.254)
Se (0.226, 0.760, 0.254)
Se (0.760, 0.760, 0.254)
Se (0.757, 0.757, 0.729)

---

A plane-wave DFT calculation with PBE was carried out for a relaxed Pm7Th crystal.

Summary:
**VASP energy**: -40.434 eV per cell
**Space-group type**: No. 225

a = 7.279 Å, b = 7.279 Å, c = 7.279 Å
α = 60.00°, β = 60.00°, γ = 60.00°
Atoms (fractional coordinates):
Pm (0.500, 0.500, 0.000)
Pm (0.500, 0.000, 0.500)
Pm (0.000, 0.500, 0.500)
Pm (0.500, 0.000, 0.000)
Pm (0.000, 0.500, 0.000)
Pm (0.000, 0.000, 0.500)
Pm (0.500, 0.500, 0.500)
Th (0.000, 0.000, 0.000)

---

A plane-wave DFT calculation with PBE was carried out for a relaxed Zn2Cd5Au4 crystal.

Summary:
**VASP energy**: -21.539 eV per cell
**Space-group type**: No. 12

a = 3.397 Å, b = 7.386 Å, c = 10.085 Å
α = 111.85°, β = 99.70°, γ = 90.00°
Atoms (fractional coordinates):
Zn (0.419, 0.418, 0.837)
Zn (0.581, 0.582, 0.163)
Cd (0.845, 0.056, 0.690)
Cd (0.155, 0.944, 0.310)
Cd (0.845, 0.636, 0.691)
Cd (0.500, 0.000, 0.000)
Cd (0.155, 0.364, 0.309)
Au (0.280, 0.281, 0.560)
Au (0.000, 0.298, 0.000)
Au (0.720, 0.719, 0.440)
Au (0.000, 0.702, 0.000)

---

A plane-wave DFT calculation with PBE was carried out for a relaxed AgAsCl crystal.

Summary:
**VASP energy**: -9.038 eV per cell
**ΔE to the lowest computed polymorph**: 252.1 meV/atom
**Space-group type**: No. 156
**Formation energy from raw total energies**: 0.1031 eV/atom

a = 3.579 Å, b = 3.579 Å, c = 5.819 Å
α = 90.00°, β = 90.00°, γ = 120.00°
Atoms (fractional coordinates):
As (0.333, 0.667, 0.292)
Ag (0.000, 0.000, 0.004)
Cl (0.667, 0.333, 0.704)

---

A plane-wave DFT calculation with PBE was carried out for a relaxed Ca3AcGa4 crystal.

Summary:
**VASP energy**: -51.509 eV per cell
**Space-group type**: No. 123

a = 5.317 Å, b = 7.478 Å, c = 10.636 Å
α = 90.00°, β = 90.00°, γ = 90.00°
Atoms (fractional coordinates):
Ca (0.000, 0.000, 0.000)
Ca (0.000, 0.000, 0.500)
Ca (0.500, 0.000, 0.750)
Ca (0.500, 0.000, 0.250)
Ca (0.500, 0.500, 0.750)
Ca (0.500, 0.500, 0.250)
Ac (0.000, 0.500, 0.000)
Ac (0.000, 0.500, 0.500)
Ga (0.500, 0.768, 0.000)
Ga (0.500, 0.768, 0.500)
Ga (0.500, 0.232, 0.000)
Ga (0.500, 0.232, 0.500)
Ga (0.000, 0.768, 0.750)
Ga (0.000, 0.768, 0.250)
Ga (0.000, 0.232, 0.250)
Ga (0.000, 0.232, 0.750)

---

A plane-wave DFT calculation with PBE was carried out for a relaxed BaAgSn crystal.

Summary:
**VASP energy**: -82.161 eV per cell
**Space-group type**: No. 59

a = 5.102 Å, b = 8.622 Å, c = 16.754 Å
α = 90.00°, β = 90.00°, γ = 90.00°
Atoms (fractional coordinates):
Ba (0.500, 0.792, 0.746)
Ba (0.000, 0.301, 0.500)
Ba (0.500, 0.702, 0.500)
Ba (0.000, 0.298, 0.000)
Ba (0.000, 0.208, 0.754)
Ba (0.000, 0.208, 0.246)
Ba (0.500, 0.699, 0.000)
Ba (0.500, 0.792, 0.254)
Ag (0.000, 0.914, 0.104)
Ag (0.000, 0.914, 0.896)
Ag (0.500, 0.417, 0.844)
Ag (0.000, 0.583, 0.344)
Ag (0.500, 0.417, 0.156)
Ag (0.500, 0.086, 0.396)
Ag (0.500, 0.086, 0.604)
Ag (0.000, 0.583, 0.656)
Sn (0.000, 0.919, 0.592)
Sn (0.000, 0.587, 0.846)
Sn (0.500, 0.413, 0.346)
Sn (0.000, 0.587, 0.154)
Sn (0.500, 0.413, 0.654)
Sn (0.000, 0.919, 0.408)
Sn (0.500, 0.081, 0.092)
Sn (0.500, 0.081, 0.908)

---

A plane-wave DFT calculation with PBE was carried out for a relaxed CuTc2Se crystal.

Summary:
**VASP energy**: -27.448 eV per cell
**Space-group type**: No. 99
**Formation energy from raw total energies**: 0.2161 eV/atom

a = 2.992 Å, b = 2.992 Å, c = 6.516 Å
α = 90.00°, β = 90.00°, γ = 90.00°
Atoms (fractional coordinates):
Cu (0.000, 0.000, 0.504)
Se (0.500, 0.500, 0.753)
Tc (0.000, 0.000, 0.993)
Tc (0.500, 0.500, 0.249)

---

A plane-wave DFT calculation with PBE was carried out for a relaxed SnTePS2 crystal.

Summary:
**VASP energy**: -17.952 eV per cell
**ΔE to the lowest computed polymorph**: 0.0 meV/atom
**Space-group type**: No. 123
**Formation energy from raw total energies**: 0.5715 eV/atom

a = 5.101 Å, b = 5.101 Å, c = 5.013 Å
α = 90.00°, β = 90.00°, γ = 90.00°
Atoms (fractional coordinates):
P (0.000, 0.000, 0.500)
S (0.000, 0.500, 0.000)
S (0.500, 0.000, 0.000)
Te (0.000, 0.000, 0.000)
Sn (0.500, 0.500, 0.500)